PBE CeEuPd, optimized geometry; DOS(E_F) = 10.36 states/eV per cell; ΔE to the lowest computed polymorph = 0.0 meV per atom; volume = 28.09 Å³ per atom
1.0
3.6711 0.0000 0.0000
0.0000 3.6711 0.0000
0.0000 0.0000 12.5067
Ce Eu Pd
2 2 2
direct
0.0000 0.0000 0.0000
0.5000 0.5000 0.5000
0.0000 0.0000 0.7248
0.5000 0.5000 0.2248
0.0000 0.0000 0.3828
0.5000 0.5000 0.8828

PBE Ce2EuPd, optimized geometry; DOS(E_F) = 31.83 states/eV per cell; ΔE to the lowest computed polymorph = 181.4 meV per atom; volume = 30.83 Å³ per atom
1.0
3.6571 0.0000 0.0000
-1.8285 3.1671 0.0000
0.0000 0.0000 31.9382
Ce Eu Pd
6 3 3
direct
0.0000 0.0000 0.1044
0.0000 0.0000 0.8956
0.3333 0.6667 0.5623
0.3333 0.6667 0.7711
0.6667 0.3333 0.2289
0.6667 0.3333 0.4377
0.0000 0.0000 0.0000
0.3333 0.6667 0.6667
0.6667 0.3333 0.3333
0.0000 0.0000 0.5000
0.3333 0.6667 0.1667
0.6667 0.3333 0.8333

PBE CeEuPd4, optimized geometry; DOS(E_F) = 9.03 states/eV per cell; volume = 19.73 Å³ per atom
1.0
0.0000 3.8974 3.8974
3.8974 0.0000 3.8974
3.8974 3.8974 0.0000
Ce Eu Pd
1 1 4
direct
0.0000 0.0000 0.0000
0.7500 0.7500 0.7500
0.3750 0.3750 0.3750
0.3750 0.3750 0.8752
0.3750 0.8752 0.3750
0.8752 0.3750 0.3750

PBE CeEuPd, optimized geometry; DOS(E_F) = 8.49 states/eV per cell; ΔE to the lowest computed polymorph = 175.7 meV per atom; volume = 26.51 Å³ per atom
1.0
4.7727 0.0000 0.0000
-2.3864 4.1333 0.0000
0.0000 0.0000 4.0319
Ce Eu Pd
1 1 1
direct
0.0000 0.0000 0.0000
0.3333 0.6667 0.5858
0.6667 0.3333 0.2577

Record order is preserved below.
Final energy: -45.078, -82.286, -41.206, -22.012 eV/cell